Below is a geometry-optimized Ac4GaAu structure, with properties calculated at the PBE level.

Lattice parameters (Å, degrees): 8.970 8.970 6.952 107.20 107.20 112.89
Element x y z (fractional)
Ac  0.060  0.684  0.906
Ac  0.231  0.363  0.710
Ac  0.316  0.940  0.594
Ac  0.363  0.231  0.210
Ac  0.637  0.769  0.790
Ac  0.684  0.060  0.406
Ac  0.769  0.637  0.290
Ac  0.940  0.316  0.094
Ga  0.372  0.628  0.250
Ga  0.628  0.372  0.750
Au  0.001  0.999  0.250
Au  0.999  0.001  0.750

Space-group type ... No. 15
Crystal system ... monoclinic
Total DFT energy (no corrections) ... -4.155 eV/atom
Energy relative to the elements ... -365.4 meV/atom